AlPb5: relaxed, PBE.

Unit cell a=7.449 b=7.449 c=7.365 alpha=103.92 beta=103.92 gamma=26.72
Element x y z (fractional)
Al  0.000  0.000  0.000
Pb  0.000  0.000  0.500
Pb  0.335  0.335  0.684
Pb  0.347  0.347  0.149
Pb  0.653  0.653  0.851
Pb  0.665  0.665  0.316

Density in g/cm3: 9.9
Calculated formation energy in eV/atom: 0.104